Record 1
The following is a DFT calculation (GGA-PBE) of TcS2N2 after structural relaxation.

Lattice parameters (Å, degrees): 3.7593 3.7593 5.2806 90.00 90.00 90.00
Element x y z (fractional)
S: 0.5000 0.5000 0.5000
S: 0.0000 0.0000 0.5000
Tc: 0.0000 0.0000 0.0000
N: 0.0000 0.5000 0.0000
N: 0.5000 0.0000 0.0000

Values from the calculation:
The formation energy without anion corrections is 0.858 eV per atom. The energy relative to the lowest polymorph listed for this composition comes out at 0.000 eV per atom.

---

Record 2
The following is a DFT calculation (GGA-PBE) of TcS2N after structural relaxation.

Lattice parameters (Å, degrees): 7.2679 7.2679 7.2679 24.00 24.00 24.00
Element x y z (fractional)
S: 0.8964 0.8964 0.8964
S: 0.1036 0.1036 0.1036
Tc: 0.0000 0.0000 0.0000
N: 0.5000 0.5000 0.5000

Values from the calculation:
The formation energy without anion corrections is 1.250 eV per atom.

---

Record 3
The following is a DFT calculation (GGA-PBE) of TcS3N after structural relaxation.

Lattice parameters (Å, degrees): 4.6258 4.6258 4.6258 90.00 90.00 90.00
Each line ends with the local moment (μB).
Element x y z (fractional)
S: 0.0000 0.5000 0.0000  -0.03
S: 0.0000 0.0000 0.5000  0.04
S: 0.5000 0.0000 0.0000  -0.02
Tc: 0.0000 0.0000 0.0000  -0.08
N: 0.5000 0.5000 0.5000  1.79

Values from the calculation:
The formation energy without anion corrections is 1.287 eV per atom. The energy relative to the lowest polymorph listed for this composition comes out at 0.070 eV per atom.

---

Record 4
The following is a DFT calculation (GGA-PBE) of TcS2N2 after structural relaxation.

Lattice parameters (Å, degrees): 3.3194 3.3194 5.4870 72.39 72.39 90.00
Element x y z (fractional)
S: 0.3489 0.3489 0.3023
S: 0.6511 0.6511 0.6977
Tc: 0.0000 0.0000 0.0000
N: 0.7500 0.2500 0.5000
N: 0.2500 0.7500 0.5000

Values from the calculation:
The formation energy without anion corrections is 1.955 eV per atom. The energy relative to the lowest polymorph listed for this composition comes out at 1.097 eV per atom.

---

Record 5
The following is a DFT calculation (GGA-PBE) of TcSN3 after structural relaxation.

Lattice parameters (Å, degrees): 3.9002 3.9002 3.9002 90.00 90.00 90.00
Element x y z (fractional)
S: 0.5000 0.5000 0.5000
Tc: 0.0000 0.0000 0.0000
N: 0.0000 0.5000 0.0000
N: 0.0000 0.0000 0.5000
N: 0.5000 0.0000 0.0000

Values from the calculation:
The formation energy without anion corrections is 1.508 eV per atom.

---

Record 6
The following is a DFT calculation (GGA-PBE) of TcSN2 after structural relaxation.

Lattice parameters (Å, degrees): 6.3753 6.3753 6.3753 26.26 26.26 26.26
Element x y z (fractional)
S: 0.0000 0.0000 0.0000
Tc: 0.5000 0.5000 0.5000
N: 0.9013 0.9013 0.9013
N: 0.0987 0.0987 0.0987

Values from the calculation:
The formation energy without anion corrections is 0.560 eV per atom.

---

Record 7
The following is a DFT calculation (GGA-PBE) of TcS2N after structural relaxation.

Lattice parameters (Å, degrees): 5.0177 5.0177 6.1154 65.78 65.78 90.00
Element x y z (fractional)
S: 0.5974 0.1250 0.2500
S: 0.1526 0.6250 0.2500
S: 0.3750 0.4026 0.7500
S: 0.8750 0.8474 0.7500
Tc: 0.0000 0.0000 0.0000
Tc: 0.7500 0.2500 0.5000
N: 0.5000 0.5000 0.0000
N: 0.2500 0.7500 0.5000

Values from the calculation:
The formation energy without anion corrections is 0.864 eV per atom.

---

Record 8
The following is a DFT calculation (GGA-PBE) of TcSN2 after structural relaxation.

Lattice parameters (Å, degrees): 6.3638 6.3638 6.3638 25.37 25.37 25.37
Element x y z (fractional)
S: 0.5000 0.5000 0.5000
Tc: 0.0000 0.0000 0.0000
N: 0.8910 0.8910 0.8910
N: 0.1090 0.1090 0.1090

Values from the calculation:
The formation energy without anion corrections is 1.064 eV per atom.

---

| no. | magnetization (μB per cell) | density of states at the Fermi level (states/eV/f.u.) |
| --- | --- | --- |
| 1 | 0.0 | 3.19 |
| 2 | 0.0 | 3.26 |
| 3 | 2.5 | 4.57 |
| 4 | 0.0 | 3.04 |
| 5 | 0.0 | 5.39 |
| 6 | 0.0 | 3.65 |
| 7 | 0.0 | 4.56 |
| 8 | 0.0 | 2.35 |